[1]
Material: HgBiPdAu
Method: DFT, PBE
State: relaxed

Cell lengths 6.9744, 6.9744, 6.9744 Å; angles 90.00, 90.00, 90.00 degrees
With the nearest neighbours (Å) after each atom.
Fractional positions:
Hg1 0.0000 0.0000 0.0000  4 Pd 3.02, 4 Au 3.02
Hg2 0.0000 0.5000 0.5000  4 Pd 3.02, 4 Au 3.02
Hg3 0.5000 0.0000 0.5000  4 Pd 3.02, 4 Au 3.02
Hg4 0.5000 0.5000 0.0000  4 Pd 3.02, 4 Au 3.02
Bi1 0.0000 0.0000 0.5000  4 Pd 3.02, 4 Au 3.02
Bi2 0.0000 0.5000 0.0000  4 Pd 3.02, 4 Au 3.02
Bi3 0.5000 0.0000 0.0000  4 Pd 3.02, 4 Au 3.02
Bi4 0.5000 0.5000 0.5000  4 Pd 3.02, 4 Au 3.02
Pd1 0.2500 0.2500 0.7500  4 Hg 3.02, 4 Bi 3.02
Pd2 0.2500 0.7500 0.2500  4 Hg 3.02, 4 Bi 3.02
Pd3 0.7500 0.2500 0.2500  4 Hg 3.02, 4 Bi 3.02
Pd4 0.7500 0.7500 0.7500  4 Hg 3.02, 4 Bi 3.02
Au1 0.2500 0.2500 0.2500  4 Hg 3.02, 4 Bi 3.02
Au2 0.2500 0.7500 0.7500  4 Hg 3.02, 4 Bi 3.02
Au3 0.7500 0.2500 0.7500  4 Hg 3.02, 4 Bi 3.02
Au4 0.7500 0.7500 0.2500  4 Hg 3.02, 4 Bi 3.02

Output
- ρ: 13.96 g/cm3
- V: 21.20 A^3/atom
- Space-group type: F-43m, No. 216
- Energy relative to the lowest polymorph listed for this composition: 0.0000 eV/atom



[2]
Material: LiZrTe3Pd
Method: DFT, PBE
State: relaxed

Cell lengths 13.7908, 3.9400, 11.0400 Å; angles 90.00, 90.00, 90.00 degrees
With the nearest neighbours (Å) after each atom.
Fractional positions:
Li1 0.1695 0.2500 0.0703  4 Te 2.93-2.95, 3 Pd 2.94-3.15
Li2 0.3305 0.7500 0.5703  4 Te 2.93-2.95, 3 Pd 2.94-3.15
Li3 0.6695 0.2500 0.4297  4 Te 2.93-2.95, 3 Pd 2.94-3.15
Li4 0.8305 0.7500 0.9297  4 Te 2.93-2.95, 3 Pd 2.94-3.15
Zr1 0.0100 0.2500 0.3200  6 Te 2.86-3.03, 2 Pd 3.13
Zr2 0.4900 0.7500 0.8200  6 Te 2.86-3.03, 2 Pd 3.13
Zr3 0.5100 0.2500 0.1800  6 Te 2.86-3.03, 2 Pd 3.13
Zr4 0.9900 0.7500 0.6800  6 Te 2.86-3.03, 2 Pd 3.13
Te1 0.1167 0.2500 0.5601  3 Zr 2.95-3.03
Te2 0.1210 0.7500 0.8811  3 Pd 2.71-2.84, 1 Zr 2.86, 2 Li 2.95
Te3 0.1583 0.7500 0.2667  1 Pd 2.71, 2 Zr 2.90, 2 Li 2.93
Te4 0.3417 0.2500 0.7667  1 Pd 2.71, 2 Zr 2.90, 2 Li 2.93
Te5 0.3790 0.2500 0.3811  3 Pd 2.71-2.84, 1 Zr 2.86, 2 Li 2.95
Te6 0.3833 0.7500 0.0601  3 Zr 2.95-3.03
Te7 0.6167 0.2500 0.9399  3 Zr 2.95-3.03
Te8 0.6210 0.7500 0.6189  3 Pd 2.71-2.84, 1 Zr 2.86, 2 Li 2.95
Te9 0.6583 0.7500 0.2333  1 Pd 2.71, 2 Zr 2.90, 2 Li 2.93
Te10 0.8417 0.2500 0.7333  1 Pd 2.71, 2 Zr 2.90, 2 Li 2.93
Te11 0.8790 0.2500 0.1189  3 Pd 2.71-2.84, 1 Zr 2.86, 2 Li 2.95
Te12 0.8833 0.7500 0.4399  3 Zr 2.95-3.03
Pd1 0.0134 0.7500 0.1003  4 Te 2.71-2.84, 2 Li 2.94, 2 Pd 2.99
Pd2 0.4866 0.2500 0.6003  4 Te 2.71-2.84, 2 Li 2.94, 2 Pd 2.99
Pd3 0.5134 0.7500 0.3997  4 Te 2.71-2.84, 2 Li 2.94, 2 Pd 2.99
Pd4 0.9866 0.2500 0.8997  4 Te 2.71-2.84, 2 Li 2.94, 2 Pd 2.99

Output
- ρ: 6.50 g/cm3
- V: 24.99 A^3/atom
- Space-group type: Pnma, No. 62
- Energy relative to the lowest polymorph listed for this composition: 0.0000 eV/atom



[3]
Material: TaGaCuOs
Method: DFT, PBE
State: relaxed

Cell lengths 6.2161, 6.2161, 6.2161 Å; angles 90.00, 90.00, 90.00 degrees
With the nearest neighbours (Å) after each atom.
Fractional positions:
Ta1 0.0000 0.0000 0.0000  4 Ga 2.69, 4 Os 2.69
Ta2 0.0000 0.5000 0.5000  4 Ga 2.69, 4 Os 2.69
Ta3 0.5000 0.0000 0.5000  4 Ga 2.69, 4 Os 2.69
Ta4 0.5000 0.5000 0.0000  4 Ga 2.69, 4 Os 2.69
Ga1 0.2500 0.2500 0.2500  4 Ta 2.69, 4 Cu 2.69
Ga2 0.2500 0.7500 0.7500  4 Cu 2.69, 4 Ta 2.69
Ga3 0.7500 0.2500 0.7500  4 Cu 2.69, 4 Ta 2.69
Ga4 0.7500 0.7500 0.2500  4 Cu 2.69, 4 Ta 2.69
Cu1 0.0000 0.0000 0.5000  4 Os 2.69, 4 Ga 2.69
Cu2 0.0000 0.5000 0.0000  4 Os 2.69, 4 Ga 2.69
Cu3 0.5000 0.0000 0.0000  4 Os 2.69, 4 Ga 2.69
Cu4 0.5000 0.5000 0.5000  4 Os 2.69, 4 Ga 2.69
Os1 0.2500 0.2500 0.7500  4 Ta 2.69, 4 Cu 2.69
Os2 0.2500 0.7500 0.2500  4 Ta 2.69, 4 Cu 2.69
Os3 0.7500 0.2500 0.2500  4 Ta 2.69, 4 Cu 2.69
Os4 0.7500 0.7500 0.7500  4 Ta 2.69, 4 Cu 2.69

Output
- ρ: 13.95 g/cm3
- V: 15.01 A^3/atom
- Space-group type: F-43m, No. 216
- Energy relative to the lowest polymorph listed for this composition: 0.1633 eV/atom